This record from Alexandria via LeMat-Bulk describes an optimized crystal structure of Li7CdGa2. The functional is PBE-GGA.

Values from the calculation:
V: 224.53 Å³ per cell
VASP energy: -19.7 eV per formula unit
Space-group type: Cmmm
N(E_F): 0.304 states/eV/atom
Energy relative to the elements: 0.64 eV per formula unit
Magnetic moment: 0.00 μB per atom
ρ: 2.2 Mg/m³

a b c (Å): 4.835 7.550 7.550
angles (deg): 125.45 90.00 90.00
Positions (direct):
Li 0.000 0.775 0.225
Li 0.000 0.225 0.775
Li 0.500 0.065 0.295
Li 0.500 0.935 0.705
Li 0.500 0.295 0.065
Li 0.500 0.705 0.935
Li 0.500 0.500 0.500
Cd 0.000 0.000 0.000
Ga 0.500 0.709 0.291
Ga 0.500 0.291 0.709

This record from Alexandria via LeMat-Bulk describes an optimized crystal structure of LiMgCdGa. The functional is PBE-GGA.

Values from the calculation:
V: 80.38 Å³ per cell
VASP energy: -7.9 eV per formula unit
Space-group type: Cm
Energy relative to the lowest polymorph listed for this composition: 0.067 eV per atom
N(E_F): 0.358 states/eV/atom
Energy relative to the elements: -0.43 eV per formula unit
Magnetic moment: 0.00 μB per atom
ρ: 4.4 Mg/m³

a b c (Å): 2.966 4.798 5.940
angles (deg): 88.95 90.00 108.01
Positions (direct):
Li 0.964 0.928 0.950
Mg 0.511 0.022 0.415
Cd 0.238 0.477 0.695
Ga 0.241 0.481 0.179

This record from Alexandria via LeMat-Bulk describes an optimized crystal structure of Li5Mg2CdGa2. The functional is PBE-GGA.

Values from the calculation:
V: 374.61 Å³ per cell
VASP energy: -21.3 eV per formula unit
Space-group type: P4/mbm
N(E_F): 0.394 states/eV/atom
Energy relative to the elements: -1.52 eV per formula unit
Magnetic moment: 0.00 μB per atom
ρ: 3.0 Mg/m³

a b c (Å): 3.756 9.986 9.986
angles (deg): 90.00 90.00 90.00
Positions (direct):
Li 0.500 0.199 0.071
Li 0.500 0.801 0.929
Li 0.500 0.071 0.801
Li 0.500 0.699 0.429
Li 0.500 0.929 0.199
Li 0.500 0.301 0.571
Li 0.500 0.571 0.699
Li 0.500 0.429 0.301
Li 0.500 0.500 0.000
Li 0.500 0.000 0.500
Mg 0.000 0.668 0.168
Mg 0.000 0.332 0.832
Mg 0.000 0.168 0.332
Mg 0.000 0.832 0.668
Cd 0.000 0.000 0.000
Cd 0.000 0.500 0.500
Ga 0.000 0.129 0.629
Ga 0.000 0.871 0.371
Ga 0.000 0.629 0.871
Ga 0.000 0.371 0.129

This record from Alexandria via LeMat-Bulk describes an optimized crystal structure of LiMgCdGa. The functional is PBE-GGA.

Values from the calculation:
V: 76.08 Å³ per cell
VASP energy: -8.2 eV per formula unit
Space-group type: F-43m
Energy relative to the lowest polymorph listed for this composition: 0.000 eV per atom
N(E_F): 0.387 states/eV/atom
Energy relative to the elements: -0.70 eV per formula unit
Magnetic moment: 0.00 μB per atom
ρ: 4.7 Mg/m³

a b c (Å): 4.756 4.756 4.756
angles (deg): 60.00 60.00 60.00
Positions (direct):
Mg 0.000 0.000 0.000
Li 0.500 0.500 0.500
Ga 0.250 0.250 0.250
Cd 0.750 0.750 0.750

This record from Alexandria via LeMat-Bulk describes an optimized crystal structure of Li2MgCdGa. The functional is PBE-GGA.

Values from the calculation:
V: 192.74 Å³ per cell
VASP energy: -10.0 eV per formula unit
Space-group type: Cmcm
N(E_F): 0.318 states/eV/atom
Energy relative to the elements: -0.68 eV per formula unit
Magnetic moment: 0.00 μB per atom
ρ: 3.8 Mg/m³

a b c (Å): 4.593 5.415 8.559
angles (deg): 90.00 90.00 115.09
Positions (direct):
Li 0.181 0.362 0.051
Li 0.819 0.638 0.551
Li 0.181 0.362 0.449
Li 0.819 0.638 0.949
Mg 0.500 0.000 0.500
Mg 0.500 0.000 0.000
Cd 0.692 0.385 0.250
Cd 0.308 0.615 0.750
Ga 0.029 0.058 0.750
Ga 0.971 0.942 0.250

This record from Alexandria via LeMat-Bulk describes an optimized crystal structure of LiMg3CdGa. The functional is PBE-GGA.

Values from the calculation:
V: 244.01 Å³ per cell
VASP energy: -11.4 eV per formula unit
Space-group type: Cmcm
N(E_F): 0.248 states/eV/atom
Energy relative to the elements: -0.79 eV per formula unit
Magnetic moment: 0.00 μB per atom
ρ: 3.6 Mg/m³

a b c (Å): 3.568 7.377 9.554
angles (deg): 90.00 90.00 103.99
Positions (direct):
Li 0.474 0.948 0.750
Li 0.526 0.052 0.250
Mg 0.665 0.330 0.484
Mg 0.335 0.670 0.516
Mg 0.335 0.670 0.984
Mg 0.665 0.330 0.016
Mg 0.149 0.297 0.750
Mg 0.851 0.703 0.250
Cd 0.000 0.000 0.500
Cd 0.000 0.000 0.000
Ga 0.808 0.616 0.750
Ga 0.192 0.384 0.250

This record from Alexandria via LeMat-Bulk describes an optimized crystal structure of LiNdCdGa. The functional is PBE-GGA.

Values from the calculation:
V: 84.63 Å³ per cell
VASP energy: -12.1 eV per formula unit
Space-group type: F-43m
N(E_F): 0.397 states/eV/atom
Energy relative to the elements: -1.44 eV per formula unit
Magnetic moment: 0.00 μB per atom
ρ: 6.5 Mg/m³

a b c (Å): 4.928 4.928 4.928
angles (deg): 60.00 60.00 60.00
Positions (direct):
Li 0.500 0.500 0.500
Nd 0.250 0.250 0.250
Ga 0.000 0.000 0.000
Cd 0.750 0.750 0.750

This record from Alexandria via LeMat-Bulk describes an optimized crystal structure of LiPaCdGa. The functional is PBE-GGA.

Values from the calculation:
V: 86.35 Å³ per cell
VASP energy: -15.3 eV per formula unit
Space-group type: F-43m
N(E_F): 1.173 states/eV/atom
Energy relative to the elements: 0.05 eV per formula unit
Magnetic moment: 0.16 μB per atom
ρ: 8.1 Mg/m³

a b c (Å): 4.961 4.961 4.961
angles (deg): 60.00 60.00 60.00
Positions (direct):
Pa 0.500 0.500 0.500
Li 0.000 0.000 0.000
Ga 0.250 0.250 0.250
Cd 0.750 0.750 0.750

This record from Alexandria via LeMat-Bulk describes an optimized crystal structure of LiCdGaPb. The functional is PBE-GGA.

Values from the calculation:
V: 88.94 Å³ per cell
VASP energy: -9.9 eV per formula unit
Space-group type: F-43m
N(E_F): 0.246 states/eV/atom
Energy relative to the elements: -0.29 eV per formula unit
Magnetic moment: 0.00 μB per atom
ρ: 7.4 Mg/m³

a b c (Å): 5.010 5.010 5.010
angles (deg): 60.00 60.00 60.00
Positions (direct):
Pb 0.750 0.750 0.750
Li 0.000 0.000 0.000
Ga 0.500 0.500 0.500
Cd 0.250 0.250 0.250

This record from Alexandria via LeMat-Bulk describes an optimized crystal structure of Li3CdGa3Pd2. The functional is PBE-GGA.

Values from the calculation:
V: 139.02 Å³ per cell
VASP energy: -29.7 eV per formula unit
Space-group type: P-62m
N(E_F): 0.388 states/eV/atom
Energy relative to the elements: -3.58 eV per formula unit
Magnetic moment: 0.00 μB per atom
ρ: 6.6 Mg/m³

a b c (Å): 2.849 7.507 7.507
angles (deg): 120.00 90.00 90.00
Positions (direct):
Li 0.500 0.690 0.000
Li 0.500 0.000 0.690
Li 0.500 0.310 0.310
Cd 0.000 0.000 0.000
Ga 0.000 0.627 0.627
Ga 0.000 0.000 0.373
Ga 0.000 0.373 0.000
Pd 0.500 0.667 0.333
Pd 0.500 0.333 0.667

This record from Alexandria via LeMat-Bulk describes an optimized crystal structure of Li2CdGa2Pd2. The functional is PBE-GGA.

Values from the calculation:
V: 110.51 Å³ per cell
VASP energy: -24.6 eV per formula unit
Space-group type: C2/m
N(E_F): 0.242 states/eV/atom
Energy relative to the elements: -3.45 eV per formula unit
Magnetic moment: 0.00 μB per atom
ρ: 7.2 Mg/m³

a b c (Å): 4.384 4.401 7.068
angles (deg): 108.00 90.00 119.87
Positions (direct):
Li 0.142 0.284 0.426
Li 0.858 0.716 0.574
Cd 0.000 0.000 0.000
Ga 0.578 0.155 0.729
Ga 0.422 0.845 0.271
Pd 0.724 0.448 0.176
Pd 0.276 0.552 0.824

This record from Alexandria via LeMat-Bulk describes an optimized crystal structure of LiPmCdGa. The functional is PBE-GGA.

Values from the calculation:
V: 89.21 Å³ per cell
VASP energy: -12.1 eV per formula unit
Space-group type: F-43m
N(E_F): 0.410 states/eV/atom
Energy relative to the elements: -1.50 eV per formula unit
Magnetic moment: 0.00 μB per atom
ρ: 6.2 Mg/m³

a b c (Å): 5.015 5.015 5.015
angles (deg): 60.00 60.00 60.00
Positions (direct):
Cd 0.750 0.750 0.750
Li 0.000 0.000 0.000
Ga 0.250 0.250 0.250
Pm 0.500 0.500 0.500